1.
AcAl6Ag PBE relaxed; formation enthalpy at 0 K = -0.235 eV per atom; E = -3.91 eV per atom; total magnetization = 0.00 μB per formula unit
1.0
4.544 0.000 0.000
0.000 4.544 0.000
0.000 0.000 8.216
Ac Al Ag
1 6 1
direct
0.000 0.000 0.000
0.000 0.500 0.329
0.000 0.500 0.671
0.500 0.000 0.329
0.500 0.000 0.671
0.500 0.500 0.157
0.500 0.500 0.843
0.000 0.000 0.500

2.
CaTbAlAg PBE relaxed; formation enthalpy at 0 K = -0.292 eV per atom; E = -3.60 eV per atom; E above lowest polymorph = 12.2 meV per atom; total magnetization = 0.00 μB per formula unit
1.0
0.000 3.676 3.676
3.676 0.000 3.676
3.676 3.676 0.000
Ca Tb Al Ag
1 1 1 1
direct
0.000 0.000 0.000
0.500 0.500 0.500
0.750 0.750 0.750
0.250 0.250 0.250

3.
MgScGa2Rh2 PBE relaxed; formation enthalpy at 0 K = -0.704 eV per atom; E = -5.48 eV per atom; total magnetization = 0.00 μB per formula unit
1.0
4.382 0.000 0.000
-2.191 3.795 0.000
0.000 0.000 5.756
Mg Sc Ga Rh
1 1 2 2
direct
0.000 0.000 0.000
0.000 0.000 0.500
0.333 0.667 0.729
0.667 0.333 0.271
0.333 0.667 0.197
0.667 0.333 0.803

4.
Sm4Dy5Er2 PBE relaxed; formation enthalpy at 0 K = 0.095 eV per atom; E = -4.54 eV per atom; E above lowest polymorph = 0.0 meV per atom; total magnetization = 0.00 μB per formula unit
1.0
8.179 -2.844 0.000
8.179 2.844 0.000
-5.008 0.000 7.646
Sm Dy Er
4 5 2
direct
0.039 0.039 0.352
0.307 0.307 0.584
0.693 0.693 0.416
0.961 0.961 0.648
0.145 0.145 0.127
0.236 0.236 0.871
0.500 0.500 0.000
0.764 0.764 0.129
0.855 0.855 0.873
0.398 0.398 0.310
0.602 0.602 0.690

5.
Ho3Ni8Au PBE relaxed; formation enthalpy at 0 K = -0.455 eV per atom; E = -5.73 eV per atom; total magnetization = 0.00 μB per formula unit
1.0
2.495 1.440 8.178
-2.495 1.440 8.178
0.000 -2.881 8.178
Ho Ni Au
3 8 1
direct
0.000 0.000 0.000
0.130 0.130 0.130
0.614 0.614 0.614
0.060 0.060 0.565
0.060 0.565 0.060
0.061 0.560 0.560
0.311 0.311 0.311
0.560 0.061 0.560
0.560 0.560 0.061
0.565 0.060 0.060
0.811 0.811 0.811
0.494 0.494 0.494

6.
CsBaRhO4 PBE relaxed; E = -5.65 eV per atom; E_form (uncorrected) = -1.37 eV per atom; total magnetization = 0.00 μB per formula unit
1.0
6.612 0.000 0.000
0.000 6.121 0.000
-2.174 0.000 7.935
Cs Ba Rh O
2 2 2 8
direct
0.226 0.250 0.443
0.774 0.750 0.557
0.283 0.250 0.954
0.717 0.750 0.046
0.254 0.750 0.182
0.746 0.250 0.818
0.084 0.750 0.324
0.113 0.750 0.955
0.461 0.529 0.206
0.461 0.971 0.206
0.539 0.029 0.794
0.539 0.471 0.794
0.887 0.250 0.045
0.916 0.250 0.676

7.
Pm4Sm2Y3 PBE relaxed; formation enthalpy at 0 K = 0.084 eV per atom; E = -5.23 eV per atom; E above lowest polymorph = 69.9 meV per atom; total magnetization = 0.00 μB per formula unit
1.0
8.229 -5.902 0.000
8.229 5.902 0.000
-0.668 0.000 6.199
Pm Sm Y
8 4 6
direct
0.093 0.812 0.985
0.145 0.427 0.152
0.188 0.907 0.515
0.427 0.145 0.652
0.573 0.855 0.348
0.812 0.093 0.485
0.855 0.573 0.848
0.907 0.188 0.015
0.242 0.521 0.682
0.479 0.758 0.818
0.521 0.242 0.182
0.758 0.479 0.318
0.066 0.268 0.582
0.268 0.066 0.082
0.399 0.601 0.250
0.601 0.399 0.750
0.732 0.934 0.918
0.934 0.732 0.418

8.
Ho4TeOs PBE relaxed; E = -6.07 eV per atom; E above lowest polymorph = 0.0 meV per atom; E_form (uncorrected) = -0.62 eV per atom; total magnetization = 0.00 μB per formula unit
1.0
7.994 0.000 0.000
0.000 4.065 0.000
0.000 0.000 19.408
Ho Te Os
16 4 4
direct
0.000 0.250 0.067
0.000 0.750 0.933
0.052 0.250 0.788
0.135 0.250 0.357
0.140 0.250 0.544
0.360 0.750 0.044
0.365 0.750 0.857
0.448 0.750 0.288
0.500 0.250 0.433
0.500 0.750 0.567
0.552 0.250 0.712
0.635 0.250 0.143
0.640 0.250 0.956
0.860 0.750 0.456
0.865 0.750 0.643
0.948 0.750 0.212
0.248 0.750 0.693
0.252 0.250 0.193
0.748 0.750 0.807
0.752 0.250 0.307
0.247 0.750 0.449
0.253 0.250 0.949
0.747 0.750 0.051
0.753 0.250 0.551

9.
Cs2ZnCd PBE relaxed; formation enthalpy at 0 K = 0.137 eV per atom; E = -0.84 eV per atom; E above lowest polymorph = 118.8 meV per atom; total magnetization = 0.00 μB per formula unit
1.0
4.613 0.000 0.000
0.000 4.613 0.000
0.000 0.000 9.261
Cs Zn Cd
2 1 1
direct
0.000 0.000 0.243
0.000 0.000 0.757
0.500 0.500 0.000
0.500 0.500 0.500

10.
ScOs2Br PBE relaxed; E = -7.03 eV per atom; E above lowest polymorph = 626.1 meV per atom; E_form (uncorrected) = 0.59 eV per atom; total magnetization = 0.00 μB per formula unit
1.0
3.115 0.000 0.000
0.000 4.246 0.000
0.000 0.000 5.506
Sc Os Br
1 2 1
direct
0.000 0.000 0.000
0.500 0.500 0.210
0.500 0.500 0.790
0.000 0.000 0.500

11.
Ca3Ac12Ru5 PBE relaxed; formation enthalpy at 0 K = 0.196 eV per atom; E = -4.89 eV per atom; total magnetization = 0.00 μB per formula unit
1.0
-9.436 9.436 9.436
9.436 -9.436 9.436
9.436 9.436 -9.436
Ca Ac Ru
12 48 20
direct
0.125 0.250 0.375
0.125 0.375 0.750
0.250 0.375 0.125
0.250 0.875 0.625
0.375 0.125 0.250
0.375 0.750 0.125
0.625 0.250 0.875
0.625 0.875 0.750
0.750 0.125 0.375
0.750 0.625 0.875
0.875 0.625 0.250
0.875 0.750 0.625
0.006 0.191 0.100
0.006 0.315 0.906
0.091 0.691 0.685
0.091 0.900 0.406
0.094 0.600 0.409
0.094 0.994 0.685
0.100 0.006 0.191
0.100 0.594 0.909
0.185 0.191 0.591
0.185 0.494 0.594
0.191 0.100 0.006
0.191 0.591 0.185
0.309 0.315 0.909
0.309 0.494 0.400
0.315 0.906 0.006
0.315 0.909 0.309
0.400 0.309 0.494
0.400 0.591 0.906
0.406 0.091 0.900
0.406 0.815 0.506
0.409 0.094 0.600
0.409 0.815 0.809
0.494 0.400 0.309
0.494 0.594 0.185
0.506 0.406 0.815
0.506 0.600 0.691
0.591 0.185 0.191
0.591 0.906 0.400
0.594 0.185 0.494
0.594 0.909 0.100
0.600 0.409 0.094
0.600 0.691 0.506
0.685 0.091 0.691
0.685 0.094 0.994
0.691 0.506 0.600
0.691 0.685 0.091
0.809 0.409 0.815
0.809 0.900 0.994
0.815 0.506 0.406
0.815 0.809 0.409
0.900 0.406 0.091
0.900 0.994 0.809
0.906 0.006 0.315
0.906 0.400 0.591
0.909 0.100 0.594
0.909 0.309 0.315
0.994 0.685 0.094
0.994 0.809 0.900
0.000 0.000 0.000
0.000 0.000 0.500
0.000 0.500 0.000
0.000 0.500 0.500
0.125 0.750 0.875
0.125 0.875 0.250
0.250 0.125 0.875
0.250 0.625 0.375
0.375 0.250 0.625
0.375 0.625 0.750
0.500 0.000 0.000
0.500 0.000 0.500
0.500 0.500 0.000
0.500 0.500 0.500
0.625 0.375 0.250
0.625 0.750 0.375
0.750 0.375 0.625
0.750 0.875 0.125
0.875 0.125 0.750
0.875 0.250 0.125

12.
Tl2Pd3Au2 PBE relaxed; formation enthalpy at 0 K = -0.096 eV per atom; E = -3.93 eV per atom; total magnetization = 0.00 μB per formula unit
1.0
4.300 0.000 0.000
-2.130 4.466 0.000
-0.062 -1.435 6.767
Tl Pd Au
2 3 2
direct
0.075 0.153 0.255
0.925 0.847 0.745
0.222 0.442 0.660
0.500 0.000 0.500
0.778 0.558 0.340
0.357 0.716 0.081
0.643 0.284 0.919